A plane-wave DFT calculation with GGA-PBE was carried out for a relaxed Li6GaCu crystal.

```
data_Li6GaCu
_chemical_formula_sum 'Li6 Ga1 Cu1'
_cell_length_a 5.6260
_cell_length_b 5.6260
_cell_length_c 4.6418
_cell_angle_alpha 90.00
_cell_angle_beta 90.00
_cell_angle_gamma 120.00
_space_group_name_H-M_alt 'P -6 m 2'
_space_group_IT_number 187
_space_group_name_Hall 'P -6 2'
loop_
_atom_site_label
_atom_site_type_symbol
_atom_site_fract_x
_atom_site_fract_y
_atom_site_fract_z
Li1 Li 0.0128 0.5064 0.0000
Li2 Li 0.3211 0.1606 0.5000
Ga1 Ga 0.3333 0.6667 0.5000
Cu1 Cu 0.0000 0.0000 0.0000
```

Properties
DFT total energy in eV/atom: -2.4139
ΔH_f (0 K) in meV/atom: -88.1
Total moment in μB per formula unit: 0.00


A plane-wave DFT calculation with GGA-PBE was carried out for a relaxed TaInFe crystal.

```
data_TaInFe
_chemical_formula_sum 'Ta4 In4 Fe4'
_cell_length_a 6.0692
_cell_length_b 6.0692
_cell_length_c 6.0692
_cell_angle_alpha 90.00
_cell_angle_beta 90.00
_cell_angle_gamma 90.00
_space_group_name_H-M_alt 'F -4 3 m'
_space_group_IT_number 216
_space_group_name_Hall 'F -4 2 3'
loop_
_atom_site_label
_atom_site_type_symbol
_atom_site_fract_x
_atom_site_fract_y
_atom_site_fract_z
Ta1 Ta 0.0000 0.0000 0.0000
In1 In 0.0000 0.0000 0.5000
Fe1 Fe 0.2500 0.2500 0.2500
```

Properties
DFT total energy in eV/atom: -7.3369
ΔH_f (0 K) in meV/atom: 347.7
Total moment in μB per formula unit: 1.83


A plane-wave DFT calculation with GGA-PBE was carried out for a relaxed CeDyY14 crystal.

```
data_CeDyY14
_chemical_formula_sum 'Ce1 Dy1 Y14'
_cell_length_a 7.1482
_cell_length_b 7.1482
_cell_length_c 10.0999
_cell_angle_alpha 90.00
_cell_angle_beta 90.00
_cell_angle_gamma 90.00
_space_group_name_H-M_alt 'P 4/m m m'
_space_group_IT_number 123
_space_group_name_Hall '-P 4 2'
loop_
_atom_site_label
_atom_site_type_symbol
_atom_site_fract_x
_atom_site_fract_y
_atom_site_fract_z
Ce1 Ce 0.0000 0.0000 0.0000
Dy1 Dy 0.5000 0.5000 0.0000
Y1 Y 0.0000 0.0000 0.5000
Y2 Y 0.0000 0.5000 0.0000
Y3 Y 0.0000 0.5000 0.5000
Y4 Y 0.2492 0.2492 0.2489
Y5 Y 0.5000 0.5000 0.5000
```

Properties
DFT total energy in eV/atom: -6.2802
ΔH_f (0 K) in meV/atom: 34.3
Total moment in μB per formula unit: 0.97


A plane-wave DFT calculation with GGA-PBE was carried out for a relaxed LaTbCoCl crystal.

```
data_LaTbCoCl
_chemical_formula_sum 'La3 Tb3 Co3 Cl3'
_cell_length_a 3.8963
_cell_length_b 3.8963
_cell_length_c 22.9567
_cell_angle_alpha 90.00
_cell_angle_beta 90.00
_cell_angle_gamma 120.00
_space_group_name_H-M_alt 'R 3 m'
_space_group_IT_number 160
_space_group_name_Hall 'R 3 -2"'
loop_
_atom_site_label
_atom_site_type_symbol
_atom_site_fract_x
_atom_site_fract_y
_atom_site_fract_z
La1 La 0.0000 0.0000 0.0000
Tb1 Tb 0.0000 0.0000 0.7978
Co1 Co 0.0000 0.0000 0.3984
Cl1 Cl 0.0000 0.0000 0.2239
```

Properties
E_form (uncorrected) in meV/atom: -873
DFT total energy in eV/atom: -5.5009
Total moment in μB per formula unit: 0.00


A plane-wave DFT calculation with GGA-PBE was carried out for a relaxed RbY3Hf crystal.

```
data_RbY3Hf
_chemical_formula_sum 'Rb1 Y3 Hf1'
_cell_length_a 5.3913
_cell_length_b 5.3913
_cell_length_c 5.3913
_cell_angle_alpha 90.00
_cell_angle_beta 90.00
_cell_angle_gamma 90.00
_space_group_name_H-M_alt 'P m -3 m'
_space_group_IT_number 221
_space_group_name_Hall '-P 4 2 3'
loop_
_atom_site_label
_atom_site_type_symbol
_atom_site_fract_x
_atom_site_fract_y
_atom_site_fract_z
Rb1 Rb 0.0000 0.0000 0.0000
Y1 Y 0.0000 0.0000 0.5000
Hf1 Hf 0.5000 0.5000 0.5000
```

Properties
DFT total energy in eV/atom: -4.5833
ΔH_f (0 K) in meV/atom: 1479.4
Total moment in μB per formula unit: 0.80
Energy above the lowest structure with this stoichiometry in eV per formula unit: 4.02


A plane-wave DFT calculation with GGA-PBE was carried out for a relaxed BeTe4Os crystal.

```
data_BeTe4Os
_chemical_formula_sum 'Be4 Te16 Os4'
_cell_length_a 8.7379
_cell_length_b 8.7379
_cell_length_c 8.7379
_cell_angle_alpha 90.00
_cell_angle_beta 90.00
_cell_angle_gamma 90.00
_space_group_name_H-M_alt 'F -4 3 m'
_space_group_IT_number 216
_space_group_name_Hall 'F -4 2 3'
loop_
_atom_site_label
_atom_site_type_symbol
_atom_site_fract_x
_atom_site_fract_y
_atom_site_fract_z
Be1 Be 0.0000 0.0000 0.0000
Te1 Te 0.1245 0.1245 0.3755
Os1 Os 0.2500 0.2500 0.7500
```

Properties
E_form (uncorrected) in meV/atom: 1705
DFT total energy in eV/atom: -2.8817
Total moment in μB per formula unit: 3.52


A plane-wave DFT calculation with GGA-PBE was carried out for a relaxed Nd4Er4Sc crystal.

```
data_Nd4Er4Sc
_chemical_formula_sum 'Nd8 Er8 Sc2'
_cell_length_a 10.6974
_cell_length_b 10.6974
_cell_length_c 5.0011
_cell_angle_alpha 90.00
_cell_angle_beta 90.00
_cell_angle_gamma 90.00
_space_group_name_H-M_alt 'I 4/m m m'
_space_group_IT_number 139
_space_group_name_Hall '-I 4 2'
loop_
_atom_site_label
_atom_site_type_symbol
_atom_site_fract_x
_atom_site_fract_y
_atom_site_fract_z
Nd1 Nd 0.1641 0.1641 0.0000
Er1 Er 0.0000 0.3334 0.5000
Sc1 Sc 0.0000 0.0000 0.5000
```

Properties
DFT total energy in eV/atom: -4.8188
ΔH_f (0 K) in meV/atom: 31.7
Total moment in μB per formula unit: 0.00
Energy above the lowest structure with this stoichiometry in eV per formula unit: 0.00


A plane-wave DFT calculation with GGA-PBE was carried out for a relaxed Re7Os crystal.

```
data_Re7Os
_chemical_formula_sum 'Re28 Os4'
_cell_length_a 7.8151
_cell_length_b 7.8151
_cell_length_c 7.8151
_cell_angle_alpha 90.00
_cell_angle_beta 90.00
_cell_angle_gamma 90.00
_space_group_name_H-M_alt 'F m -3 m'
_space_group_IT_number 225
_space_group_name_Hall '-F 4 2 3'
loop_
_atom_site_label
_atom_site_type_symbol
_atom_site_fract_x
_atom_site_fract_y
_atom_site_fract_z
Re1 Re 0.0000 0.0000 0.0000
Re2 Re 0.0000 0.2500 0.2500
Os1 Os 0.0000 0.0000 0.5000
```

Properties
DFT total energy in eV/atom: -12.2481
ΔH_f (0 K) in meV/atom: 47.7
Total moment in μB per formula unit: 0.00